Here is a geometry-optimized Sr2AcNiO5 structure from the Alexandria database. Energies are from GGA+U.

Cell lengths 6.8362, 6.8362, 11.4664 Å; angles 90.00, 90.00, 90.00 degrees
With the nearest neighbours (Å) after each atom.
Space group I4/mcm (No. 140)
One atom of each set of equivalent atoms:
Sr 0.1711 0.3289 0.0000 x8  4 O 2.45-2.53
Ac 0.0000 0.0000 0.2500 x4  10 O 2.84-2.87
Ni 0.0000 0.5000 0.2500 x4  4 O 1.84
O 0.0000 0.0000 0.0000 x4  4 Sr 2.53
O 0.1504 0.3496 0.3489 x16  1 Ni 1.84

Computed properties:
Mass density in g cm⁻³: 6.705
E in eV per cell: -223.26